No. 1
This record from Alexandria describes crystalline Tm2MnGa2Ru5 at its relaxed geometry. The functional is GGA-PBE.

Lattice parameters (Å, degrees): 9.901 9.901 3.329 90.00 90.00 90.00
Space group P4/mbm (No. 127)
Unique sites:
Tm1 0.170 0.330 0.000 x4
Mn1 0.000 0.000 0.000 x2
Ga1 0.131 0.631 0.000 x4
Ru1 0.000 0.500 0.500 x2
Ru2 0.062 0.809 0.500 x8

energy relative to the elements: -0.254 eV/atom

***

No. 2
This record from Alexandria describes crystalline Cu5P4 at its relaxed geometry. The functional is GGA-PBE.

Lattice parameters (Å, degrees): 7.6316 7.6316 4.8469 90.00 90.00 120.00
Space group P6_3/mcm (No. 193)
Unique sites:
Cu1 0.0000 0.2907 0.2500 x6
Cu2 0.3333 0.6667 0.0000 x4
P1 0.0000 0.0000 0.0000 x2
P2 0.0000 0.4067 0.7500 x6

energy relative to the elements: 0.239 eV/atom
relative energy among the computed polymorphs: 50 meV/atom

***

Result set for E_tot: -7.309; -4.441 eV per atom, one per record in the order listed.
Result set for size of the total moment: 1.7; 0.0 μB per formula unit, one per record in the order listed.